Record 1
# PmScInPd

A relaxed structure of PmScInPd (GGA-PBE, the Alexandria database).

Computed properties:
* size of the total moment: 0.0 μB/cell
* energy of formation from the pure elements: -0.54 eV per atom
* Fermi-level density of states: 0.790 states/eV per atom

Geometry as extended XYZ:
```
16
Lattice="7.205 0.000 0.000 0.000 7.205 0.000 0.000 0.000 7.205" Properties=species:S:1:pos:R:3 pbc="T T T"
Pm 0.000 0.000 0.000
Pm 0.000 3.603 3.603
Pm 3.603 0.000 3.603
Pm 3.603 3.603 0.000
Sc 0.000 0.000 3.603
Sc 0.000 3.603 0.000
Sc 3.603 0.000 0.000
Sc 3.603 3.603 3.603
In 1.801 1.801 5.404
In 1.801 5.404 1.801
In 5.404 1.801 1.801
In 5.404 5.404 5.404
Pd 1.801 1.801 1.801
Pd 1.801 5.404 5.404
Pd 5.404 1.801 5.404
Pd 5.404 5.404 1.801
```

Record 2
# PmSc2InPd4

A relaxed structure of PmSc2InPd4 (GGA-PBE, the Alexandria database).

Computed properties:
* size of the total moment: 0.0 μB/cell
* energy of formation from the pure elements: -0.78 eV per atom
* Fermi-level density of states: 0.828 states/eV per atom

Geometry as extended XYZ:
```
8
Lattice="2.366 1.366 8.028 -2.366 1.366 8.028 0.000 -2.732 8.028" Properties=species:S:1:pos:R:3 pbc="T T T"
Pm 0.000 0.000 0.000
Sc 0.000 0.000 5.841
Sc 0.000 0.000 18.243
In 0.000 0.000 12.042
Pd 0.000 0.000 3.000
Pd 0.000 0.000 9.273
Pd 0.000 0.000 14.811
Pd 0.000 0.000 21.084
```

Among the records above, which one has the lowest Fermi-level density of states?
PmScInPd